No. 1
TlBiPbS3: optimized geometry, GGA-PBEsol.

Values from the calculation:
final energy	-53.21	eV/cell
M_tot	0.0	Bohr magnetons per cell
formation energy (no corrections)	-0.42	eV per atom
symmetry	Imm2

Cell: 4.0819 5.8530 12.9160 Å, 90.00 90.00 90.00°
Last column: nearest neighbours and their distance in Å.
Atoms (fractional coordinates):
1 Tl 0.0000 0.0000 0.0000  6 S 2.94-3.17
2 Tl 0.5000 0.5000 0.5000  6 S 2.94-3.17
3 Bi 0.0000 0.0000 0.6700  6 S 2.79-2.94
4 Bi 0.5000 0.5000 0.1700  6 S 2.79-2.94
5 Pb 0.0000 0.0000 0.3397  6 S 2.83-3.13
6 Pb 0.5000 0.5000 0.8397  6 S 2.83-3.13
7 S 0.0000 0.5000 0.0232  2 Bi 2.79, 2 Tl 2.94
8 S 0.0000 0.5000 0.3201  2 Bi 2.82, 2 Pb 2.94, 2 Tl 3.09
9 S 0.0000 0.5000 0.6874  2 Pb 2.83, 2 Bi 2.94, 2 Tl 3.17
10 S 0.5000 0.0000 0.1874  2 Pb 2.83, 2 Bi 2.94, 2 Tl 3.17
11 S 0.5000 0.0000 0.5232  2 Bi 2.79, 2 Tl 2.94
12 S 0.5000 0.0000 0.8201  2 Bi 2.82, 2 Pb 2.94, 2 Tl 3.09



No. 2
BiSb2Pb: optimized geometry, GGA-PBEsol.

Values from the calculation:
final energy	-67.89	eV/cell
M_tot	0.0	Bohr magnetons per cell
formation energy (no corrections)	0.11	eV per atom
symmetry	Fm-3m

Cell: 7.6839 7.6839 7.6839 Å, 90.00 90.00 90.00°
Last column: nearest neighbours and their distance in Å.
Atoms (fractional coordinates):
1 Bi 0.0000 0.0000 0.0000  8 Sb 3.33
2 Bi 0.0000 0.5000 0.5000  8 Sb 3.33
3 Bi 0.5000 0.0000 0.5000  8 Sb 3.33
4 Bi 0.5000 0.5000 0.0000  8 Sb 3.33
5 Sb 0.2500 0.2500 0.2500  4 Pb 3.33, 4 Bi 3.33
6 Sb 0.2500 0.2500 0.7500  4 Pb 3.33, 4 Bi 3.33
7 Sb 0.2500 0.7500 0.2500  4 Pb 3.33, 4 Bi 3.33
8 Sb 0.2500 0.7500 0.7500  4 Pb 3.33, 4 Bi 3.33
9 Sb 0.7500 0.2500 0.2500  4 Pb 3.33, 4 Bi 3.33
10 Sb 0.7500 0.2500 0.7500  4 Pb 3.33, 4 Bi 3.33
11 Sb 0.7500 0.7500 0.2500  4 Pb 3.33, 4 Bi 3.33
12 Sb 0.7500 0.7500 0.7500  4 Pb 3.33, 4 Bi 3.33
13 Pb 0.0000 0.0000 0.5000  8 Sb 3.33
14 Pb 0.0000 0.5000 0.0000  8 Sb 3.33
15 Pb 0.5000 0.0000 0.0000  8 Sb 3.33
16 Pb 0.5000 0.5000 0.5000  8 Sb 3.33



No. 3
Sc2BiPb2: optimized geometry, GGA-PBEsol.

Values from the calculation:
calculated formation energy	-1.922	eV/f.u.
final energy	-54.83	eV/cell
M_tot	0.0	Bohr magnetons per cell
symmetry	P4/mbm

Cell: 7.6017 7.6017 4.4229 Å, 90.00 90.00 90.00°
Last column: nearest neighbours and their distance in Å.
Atoms (fractional coordinates):
1 Sc 0.1567 0.3433 0.0000  2 Bi 2.87, 2 Pb 3.03
2 Sc 0.3433 0.8433 0.0000  2 Bi 2.87, 2 Pb 3.03
3 Sc 0.6567 0.1567 0.0000  2 Bi 2.87, 2 Pb 3.03
4 Sc 0.8433 0.6567 0.0000  2 Bi 2.87, 2 Pb 3.03
5 Bi 0.0000 0.0000 0.0000  4 Sc 2.87
6 Bi 0.5000 0.5000 0.0000  4 Sc 2.87
7 Pb 0.1505 0.6505 0.5000  6 Sc 3.03-3.22, 1 Pb 3.24
8 Pb 0.3495 0.1505 0.5000  6 Sc 3.03-3.22, 1 Pb 3.24
9 Pb 0.6505 0.8495 0.5000  6 Sc 3.03-3.22, 1 Pb 3.24
10 Pb 0.8495 0.3495 0.5000  6 Sc 3.03-3.22, 1 Pb 3.24



No. 4
Bi2Pb2Se5: optimized geometry, GGA-PBEsol.

Values from the calculation:
final energy	-39.86	eV/cell
M_tot	0.0	Bohr magnetons per cell
formation energy (no corrections)	-0.45	eV per atom
symmetry	P-3m1

Cell: 4.2023 4.2023 16.5663 Å, 90.00 90.00 120.00°
Last column: nearest neighbours and their distance in Å.
Atoms (fractional coordinates):
1 Bi 0.0000 0.0000 0.1668  6 Se 2.86-3.07
2 Bi 0.0000 0.0000 0.8332  6 Se 2.86-3.07
3 Pb 0.3333 0.6667 0.6102  6 Se 3.03-3.04
4 Pb 0.6667 0.3333 0.3898  6 Se 3.03-3.04
5 Se 0.0000 0.0000 0.5000  6 Pb 3.04
6 Se 0.3333 0.6667 0.2805  3 Pb 3.03, 3 Bi 3.07
7 Se 0.3333 0.6667 0.9250  3 Bi 2.86
8 Se 0.6667 0.3333 0.0750  3 Bi 2.86
9 Se 0.6667 0.3333 0.7195  3 Pb 3.03, 3 Bi 3.07



No. 5
Bi3PbSe: optimized geometry, GGA-PBEsol.

Values from the calculation:
final energy	-18.76	eV/cell
M_tot	0.0	Bohr magnetons per cell
formation energy (no corrections)	0.39	eV per atom
symmetry	Pm-3m

Cell: 5.5170 5.5170 5.5170 Å, 90.00 90.00 90.00°
Last column: nearest neighbours and their distance in Å.
Atoms (fractional coordinates):
1 Bi 0.0000 0.0000 0.5000  2 Se 2.76
2 Bi 0.0000 0.5000 0.0000  2 Se 2.76
3 Bi 0.5000 0.0000 0.0000  2 Se 2.76
4 Pb 0.5000 0.5000 0.5000  12 Bi 3.90
5 Se 0.0000 0.0000 0.0000  6 Bi 2.76



No. 6
Bi2PbSe4: optimized geometry, GGA-PBEsol.

Values from the calculation:
final energy	-30.96	eV/cell
M_tot	0.0	Bohr magnetons per cell
formation energy (no corrections)	-0.43	eV per atom
symmetry	R-3m

Cell: 13.2664 13.2664 13.2664 Å, 18.11 18.11 18.11°
Last column: nearest neighbours and their distance in Å.
Atoms (fractional coordinates):
1 Bi 0.0714 0.0714 0.0714  6 Se 2.86-3.07
2 Bi 0.9286 0.9286 0.9286  6 Se 2.86-3.07
3 Pb 0.5000 0.5000 0.5000  6 Se 3.03
4 Se 0.2135 0.2135 0.2135  3 Pb 3.03, 3 Bi 3.07
5 Se 0.3655 0.3655 0.3655  3 Bi 2.86
6 Se 0.6345 0.6345 0.6345  3 Bi 2.86
7 Se 0.7865 0.7865 0.7865  3 Pb 3.03, 3 Bi 3.07



No. 7
Bi4Pb7Se13: optimized geometry, GGA-PBEsol.

Values from the calculation:
final energy	-106.24	eV/cell
M_tot	0.0	Bohr magnetons per cell
formation energy (no corrections)	-0.46	eV per atom
symmetry	C2/m

Cell: 7.3013 7.3013 23.4110 Å, 96.39 96.39 33.43°
Last column: nearest neighbours and their distance in Å.
Atoms (fractional coordinates):
1 Bi 0.0599 0.0599 0.3768  6 Se 2.77-3.10
2 Bi 0.2421 0.2421 0.0858  5 Se 2.79-3.00
3 Bi 0.7579 0.7579 0.9142  5 Se 2.79-3.00
4 Bi 0.9401 0.9401 0.6232  6 Se 2.77-3.10
5 Pb 0.0192 0.0192 0.8361  6 Se 2.93-3.15
6 Pb 0.2345 0.2345 0.7157  5 Se 2.92-3.25
7 Pb 0.3528 0.3528 0.4591  5 Se 2.89-3.05
8 Pb 0.5000 0.5000 0.0000  6 Se 3.03-3.06
9 Pb 0.6472 0.6472 0.5409  5 Se 2.89-3.05
10 Pb 0.7655 0.7655 0.2843  5 Se 2.92-3.25
11 Pb 0.9808 0.9808 0.1639  6 Se 2.93-3.15
12 Se 0.0000 0.0000 0.5000  4 Pb 3.02, 2 Bi 3.10
13 Se 0.1198 0.1198 0.2679  1 Bi 2.77, 3 Pb 2.92-2.93
14 Se 0.1337 0.1337 0.9602  3 Bi 3.00-3.15, 3 Pb 3.03-3.15
15 Se 0.2920 0.2920 0.5906  2 Bi 2.99, 4 Pb 3.05-3.29
16 Se 0.3480 0.3480 0.1944  1 Bi 2.79, 2 Pb 2.95
17 Se 0.3814 0.3814 0.8817  2 Bi 2.88, 3 Pb 3.06-3.12
18 Se 0.4212 0.4212 0.3471  2 Bi 2.89, 1 Pb 2.89
19 Se 0.5788 0.5788 0.6529  2 Bi 2.89, 1 Pb 2.89
20 Se 0.6186 0.6186 0.1183  2 Bi 2.88, 3 Pb 3.06-3.12
21 Se 0.6520 0.6520 0.8056  1 Bi 2.79, 2 Pb 2.95
22 Se 0.7080 0.7080 0.4094  2 Bi 2.99, 4 Pb 3.05-3.29
23 Se 0.8663 0.8663 0.0398  3 Bi 3.00-3.15, 3 Pb 3.03-3.15
24 Se 0.8802 0.8802 0.7321  1 Bi 2.77, 3 Pb 2.92-2.93



No. 8
TcBiPbSe2: optimized geometry, GGA-PBEsol.

Values from the calculation:
final energy	-21.86	eV/cell
M_tot	3.5	Bohr magnetons per cell
formation energy (no corrections)	1.08	eV per atom
symmetry	P4/mmm

Cell: 5.4908 5.4908 5.1779 Å, 90.00 90.00 90.00°
Last column: nearest neighbours and their distance in Å.
Atoms (fractional coordinates):
1 Tc 0.0000 0.0000 0.0000  2 Bi 2.59
2 Bi 0.0000 0.0000 0.5000  2 Tc 2.59, 4 Se 2.75
3 Pb 0.5000 0.5000 0.0000  8 Se 3.77, 4 Tc 3.88
4 Se 0.0000 0.5000 0.5000  2 Bi 2.75
5 Se 0.5000 0.0000 0.5000  2 Bi 2.75



No. 9
BiPb2WSe: optimized geometry, GGA-PBEsol.

Values from the calculation:
final energy	-26.76	eV/cell
M_tot	0.9	Bohr magnetons per cell
formation energy (no corrections)	0.64	eV per atom
symmetry	P4/mmm

Cell: 5.3408 5.3408 5.2337 Å, 90.00 90.00 90.00°
Last column: nearest neighbours and their distance in Å.
Atoms (fractional coordinates):
1 Bi 0.0000 0.0000 0.0000  2 W 2.62
2 Pb 0.0000 0.5000 0.5000  2 W 2.67
3 Pb 0.5000 0.0000 0.5000  2 W 2.67
4 W 0.0000 0.0000 0.5000  2 Bi 2.62, 4 Pb 2.67
5 Se 0.5000 0.5000 0.0000  8 Pb 3.74, 4 Bi 3.78



No. 10
Si2BiPb: optimized geometry, GGA-PBEsol.

Values from the calculation:
energy above the most stable polymorph in this dataset	0	meV per atom
final energy	-71.03	eV/cell
M_tot	0.0	Bohr magnetons per cell
formation energy (no corrections)	0.50	eV per atom
symmetry	Fm-3m

Cell: 7.1463 7.1463 7.1463 Å, 90.00 90.00 90.00°
Last column: nearest neighbours and their distance in Å.
Atoms (fractional coordinates):
1 Si 0.2500 0.2500 0.2500  4 Pb 3.09, 4 Bi 3.09
2 Si 0.2500 0.2500 0.7500  4 Pb 3.09, 4 Bi 3.09
3 Si 0.2500 0.7500 0.2500  4 Pb 3.09, 4 Bi 3.09
4 Si 0.2500 0.7500 0.7500  4 Pb 3.09, 4 Bi 3.09
5 Si 0.7500 0.2500 0.2500  4 Pb 3.09, 4 Bi 3.09
6 Si 0.7500 0.2500 0.7500  4 Pb 3.09, 4 Bi 3.09
7 Si 0.7500 0.7500 0.2500  4 Pb 3.09, 4 Bi 3.09
8 Si 0.7500 0.7500 0.7500  4 Pb 3.09, 4 Bi 3.09
9 Bi 0.0000 0.0000 0.0000  8 Si 3.09
10 Bi 0.0000 0.5000 0.5000  8 Si 3.09
11 Bi 0.5000 0.0000 0.5000  8 Si 3.09
12 Bi 0.5000 0.5000 0.0000  8 Si 3.09
13 Pb 0.0000 0.0000 0.5000  8 Si 3.09
14 Pb 0.0000 0.5000 0.0000  8 Si 3.09
15 Pb 0.5000 0.0000 0.0000  8 Si 3.09
16 Pb 0.5000 0.5000 0.5000  8 Si 3.09